# Ca2PtN, optimized geometry, DFT PBE
data_Ca2PtN
_chemical_formula_sum 'Ca8 Pt4 N4'
_cell_length_a 6.439
_cell_length_b 6.376
_cell_length_c 7.182
_cell_angle_alpha 90.00
_cell_angle_beta 90.00
_cell_angle_gamma 90.00
_space_group_name_H-M_alt 'P n m a'
_space_group_IT_number 62
loop_
_space_group_symop_operation_xyz
'x,y,z'
'-x,-y,-z'
'-x+1/2,-y,z+1/2'
'x+1/2,y,-z+1/2'
'x+1/2,-y+1/2,-z+1/2'
'-x+1/2,y+1/2,z+1/2'
'-x,y+1/2,-z'
'x,-y+1/2,z'
loop_
_atom_site_label
_atom_site_type_symbol
_atom_site_fract_x
_atom_site_fract_y
_atom_site_fract_z
Ca1 Ca 0.154 0.009 0.175
Pt1 Pt 0.019 0.250 0.507
N1 N 0.149 0.750 0.910
# raw total energy	-5.151	eV per atom

# Ca3PtN, optimized geometry, DFT PBE
data_Ca3PtN
_chemical_formula_sum 'Ca24 Pt8 N8'
_cell_length_a 13.267
_cell_length_b 10.677
_cell_length_c 6.679
_cell_angle_alpha 90.00
_cell_angle_beta 92.76
_cell_angle_gamma 90.00
_space_group_name_H-M_alt 'C 1 2/c 1'
_space_group_IT_number 15
loop_
_space_group_symop_operation_xyz
'x,y,z'
'-x,-y,-z'
'-x,y,-z+1/2'
'x,-y,z+1/2'
'x+1/2,y+1/2,z'
'-x+1/2,-y+1/2,-z'
'-x+1/2,y+1/2,-z+1/2'
'x+1/2,-y+1/2,z+1/2'
loop_
_atom_site_label
_atom_site_type_symbol
_atom_site_fract_x
_atom_site_fract_y
_atom_site_fract_z
Ca1 Ca 0.131 0.122 0.101
Ca2 Ca 0.137 0.475 0.924
Ca3 Ca 0.142 0.215 0.561
Pt1 Pt 0.000 0.058 0.750
Pt2 Pt 0.000 0.335 0.250
N1 N 0.235 0.395 0.654
# raw total energy	-4.761	eV per atom

# Ca4Pu3PtN8, optimized geometry, DFT PBE
data_Ca4Pu3PtN8
_chemical_formula_sum 'Ca8 Pu6 Pt2 N16'
_cell_length_a 12.376
_cell_length_b 6.600
_cell_length_c 6.732
_cell_angle_alpha 90.00
_cell_angle_beta 122.80
_cell_angle_gamma 90.00
_space_group_name_H-M_alt 'C 1 2/m 1'
_space_group_IT_number 12
loop_
_space_group_symop_operation_xyz
'x,y,z'
'-x,-y,-z'
'-x,y,-z'
'x,-y,z'
'x+1/2,y+1/2,z'
'-x+1/2,-y+1/2,-z'
'-x+1/2,y+1/2,-z'
'x+1/2,-y+1/2,z'
loop_
_atom_site_label
_atom_site_type_symbol
_atom_site_fract_x
_atom_site_fract_y
_atom_site_fract_z
Ca1 Ca 0.000 0.000 0.000
Ca2 Ca 0.000 0.500 0.000
Ca3 Ca 0.250 0.250 0.000
Pu1 Pu 0.000 0.000 0.500
Pu2 Pu 0.250 0.250 0.500
Pt1 Pt 0.000 0.500 0.500
N1 N 0.013 0.252 0.292
N2 N 0.221 0.000 0.258
N3 N 0.239 0.000 0.721
# raw total energy	-8.669	eV per atom

# Ca6Pt2SN, optimized geometry, DFT PBE
data_Ca6Pt2SN
_chemical_formula_sum 'Ca12 Pt4 S2 N2'
_cell_length_a 6.723
_cell_length_b 7.366
_cell_length_c 11.851
_cell_angle_alpha 90.00
_cell_angle_beta 123.84
_cell_angle_gamma 90.00
_space_group_name_H-M_alt 'P 1 21/c 1'
_space_group_IT_number 14
loop_
_space_group_symop_operation_xyz
'x,y,z'
'-x,-y,-z'
'-x,y+1/2,-z+1/2'
'x,-y+1/2,z+1/2'
loop_
_atom_site_label
_atom_site_type_symbol
_atom_site_fract_x
_atom_site_fract_y
_atom_site_fract_z
Ca1 Ca 0.121 0.038 0.233
Ca2 Ca 0.226 0.708 0.060
Ca3 Ca 0.352 0.172 0.054
Pt1 Pt 0.282 0.084 0.750
S1 S 0.500 0.000 0.500
N1 N 0.000 0.000 0.000
# raw total energy	-4.632	eV per atom

# Ca2SbPtN, optimized geometry, DFT PBE
data_Ca2SbPtN
_chemical_formula_sum 'Ca2 Sb1 Pt1 N1'
_cell_length_a 5.297
_cell_length_b 5.297
_cell_length_c 3.839
_cell_angle_alpha 90.00
_cell_angle_beta 90.00
_cell_angle_gamma 90.00
_space_group_name_H-M_alt 'P 4/m m m'
_space_group_IT_number 123
_space_group_name_Hall '-P 4 2'
loop_
_atom_site_label
_atom_site_type_symbol
_atom_site_fract_x
_atom_site_fract_y
_atom_site_fract_z
Ca1 Ca 0.000 0.500 0.000
Sb1 Sb 0.000 0.000 0.500
Pt1 Pt 0.500 0.500 0.500
N1 N 0.500 0.500 0.000
# raw total energy	-5.224	eV per atom

# CaSc2PtN, optimized geometry, DFT PBE
data_CaSc2PtN
_chemical_formula_sum 'Ca1 Sc2 Pt1 N1'
_cell_length_a 4.317
_cell_length_b 4.317
_cell_length_c 4.866
_cell_angle_alpha 90.00
_cell_angle_beta 90.00
_cell_angle_gamma 90.00
_space_group_name_H-M_alt 'P 4/m m m'
_space_group_IT_number 123
_space_group_name_Hall '-P 4 2'
loop_
_atom_site_label
_atom_site_type_symbol
_atom_site_fract_x
_atom_site_fract_y
_atom_site_fract_z
Ca1 Ca 0.000 0.000 0.000
Sc1 Sc 0.000 0.500 0.500
Pt1 Pt 0.500 0.500 0.000
N1 N 0.000 0.000 0.500
# raw total energy	-6.874	eV per atom

# Ca2ScPtN, optimized geometry, DFT PBE
data_Ca2ScPtN
_chemical_formula_sum 'Ca2 Sc1 Pt1 N1'
_cell_length_a 4.819
_cell_length_b 4.819
_cell_length_c 4.275
_cell_angle_alpha 90.00
_cell_angle_beta 90.00
_cell_angle_gamma 90.00
_space_group_name_H-M_alt 'P 4/m m m'
_space_group_IT_number 123
_space_group_name_Hall '-P 4 2'
loop_
_atom_site_label
_atom_site_type_symbol
_atom_site_fract_x
_atom_site_fract_y
_atom_site_fract_z
Ca1 Ca 0.000 0.500 0.000
Sc1 Sc 0.000 0.000 0.500
Pt1 Pt 0.500 0.500 0.500
N1 N 0.000 0.000 0.000
# raw total energy	-5.856	eV per atom

# Ca2PtSeN, optimized geometry, DFT PBE
data_Ca2PtSeN
_chemical_formula_sum 'Ca2 Pt1 Se1 N1'
_cell_length_a 5.119
_cell_length_b 5.119
_cell_length_c 3.845
_cell_angle_alpha 90.00
_cell_angle_beta 90.00
_cell_angle_gamma 90.00
_space_group_name_H-M_alt 'P 4/m m m'
_space_group_IT_number 123
_space_group_name_Hall '-P 4 2'
loop_
_atom_site_label
_atom_site_type_symbol
_atom_site_fract_x
_atom_site_fract_y
_atom_site_fract_z
Ca1 Ca 0.000 0.500 0.000
Pt1 Pt 0.000 0.000 0.500
Se1 Se 0.500 0.500 0.500
N1 N 0.000 0.000 0.000
# raw total energy	-5.487	eV per atom

# Ca2SnPtN, optimized geometry, DFT PBE
data_Ca2SnPtN
_chemical_formula_sum 'Ca2 Sn1 Pt1 N1'
_cell_length_a 5.341
_cell_length_b 5.341
_cell_length_c 3.812
_cell_angle_alpha 90.00
_cell_angle_beta 90.00
_cell_angle_gamma 90.00
_space_group_name_H-M_alt 'P 4/m m m'
_space_group_IT_number 123
_space_group_name_Hall '-P 4 2'
loop_
_atom_site_label
_atom_site_type_symbol
_atom_site_fract_x
_atom_site_fract_y
_atom_site_fract_z
Ca1 Ca 0.000 0.500 0.000
Sn1 Sn 0.000 0.000 0.500
Pt1 Pt 0.500 0.500 0.500
N1 N 0.500 0.500 0.000
# raw total energy	-5.052	eV per atom

# CaTePtN2, optimized geometry, DFT PBE
data_CaTePtN2
_chemical_formula_sum 'Ca1 Te1 Pt1 N2'
_cell_length_a 4.158
_cell_length_b 4.158
_cell_length_c 5.683
_cell_angle_alpha 90.00
_cell_angle_beta 90.00
_cell_angle_gamma 90.00
_space_group_name_H-M_alt 'P 4/m m m'
_space_group_IT_number 123
_space_group_name_Hall '-P 4 2'
loop_
_atom_site_label
_atom_site_type_symbol
_atom_site_fract_x
_atom_site_fract_y
_atom_site_fract_z
Ca1 Ca 0.000 0.000 0.000
Te1 Te 0.500 0.500 0.000
Pt1 Pt 0.500 0.500 0.500
N1 N 0.000 0.500 0.500
# energy above the lowest structure with this stoichiometry	0	meV/atom
# raw total energy	-4.935	eV per atom

# CaTePtN2, optimized geometry, DFT PBE
data_CaTePtN2
_chemical_formula_sum 'Ca1 Te1 Pt1 N2'
_cell_length_a 4.341
_cell_length_b 4.341
_cell_length_c 6.506
_cell_angle_alpha 90.00
_cell_angle_beta 90.00
_cell_angle_gamma 90.00
_space_group_name_H-M_alt 'P 4/m m m'
_space_group_IT_number 123
_space_group_name_Hall '-P 4 2'
loop_
_atom_site_label
_atom_site_type_symbol
_atom_site_fract_x
_atom_site_fract_y
_atom_site_fract_z
Ca1 Ca 0.000 0.000 0.000
Te1 Te 0.000 0.000 0.500
Pt1 Pt 0.500 0.500 0.500
N1 N 0.000 0.500 0.000
# energy above the lowest structure with this stoichiometry	923	meV/atom
# raw total energy	-4.012	eV per atom

# CaPt2WN, optimized geometry, DFT PBE
data_CaPt2WN
_chemical_formula_sum 'Ca1 Pt2 W1 N1'
_cell_length_a 4.879
_cell_length_b 4.879
_cell_length_c 5.116
_cell_angle_alpha 90.00
_cell_angle_beta 90.00
_cell_angle_gamma 90.00
_space_group_name_H-M_alt 'P 4/m m m'
_space_group_IT_number 123
_space_group_name_Hall '-P 4 2'
loop_
_atom_site_label
_atom_site_type_symbol
_atom_site_fract_x
_atom_site_fract_y
_atom_site_fract_z
Ca1 Ca 0.000 0.000 0.000
Pt1 Pt 0.000 0.500 0.000
W1 W 0.000 0.000 0.500
N1 N 0.500 0.500 0.500
# raw total energy	-3.802	eV per atom

# Ca2YPtN, optimized geometry, DFT PBE
data_Ca2YPtN
_chemical_formula_sum 'Ca2 Y1 Pt1 N1'
_cell_length_a 4.760
_cell_length_b 4.760
_cell_length_c 4.710
_cell_angle_alpha 90.00
_cell_angle_beta 90.00
_cell_angle_gamma 90.00
_space_group_name_H-M_alt 'P 4/m m m'
_space_group_IT_number 123
_space_group_name_Hall '-P 4 2'
loop_
_atom_site_label
_atom_site_type_symbol
_atom_site_fract_x
_atom_site_fract_y
_atom_site_fract_z
Ca1 Ca 0.000 0.500 0.000
Y1 Y 0.000 0.000 0.500
Pt1 Pt 0.500 0.500 0.500
N1 N 0.000 0.000 0.000
# raw total energy	-5.857	eV per atom

# CaPuN, optimized geometry, DFT PBE
data_CaPuN
_chemical_formula_sum 'Ca1 Pu1 N1'
_cell_length_a 3.4995
_cell_length_b 3.4995
_cell_length_c 6.2809
_cell_angle_alpha 90.00
_cell_angle_beta 90.00
_cell_angle_gamma 120.00
_space_group_name_H-M_alt 'P 3 m 1'
_space_group_IT_number 156
loop_
_space_group_symop_operation_xyz
'x,y,z'
'-y,x-y,z'
'-x+y,-x,z'
'-y,-x,z'
'-x+y,y,z'
'x,x-y,z'
loop_
_atom_site_label
_atom_site_type_symbol
_atom_site_fract_x
_atom_site_fract_y
_atom_site_fract_z
Ca1 Ca 0.0000 0.0000 0.0000
Pu1 Pu 0.3333 0.6667 0.5603
N1 N 0.6667 0.3333 0.7509
# energy above the lowest structure with this stoichiometry	0	meV/atom
# raw total energy	-8.936	eV per atom

# Ca2PuN3, optimized geometry, DFT PBE
data_Ca2PuN3
_chemical_formula_sum 'Ca4 Pu2 N6'
_cell_length_a 3.493
_cell_length_b 4.832
_cell_length_c 10.495
_cell_angle_alpha 90.00
_cell_angle_beta 90.00
_cell_angle_gamma 90.00
_space_group_name_H-M_alt 'I m m m'
_space_group_IT_number 71
_space_group_name_Hall '-I 2 2'
loop_
_atom_site_label
_atom_site_type_symbol
_atom_site_fract_x
_atom_site_fract_y
_atom_site_fract_z
Ca1 Ca 0.000 0.000 0.166
Pu1 Pu 0.000 0.000 0.500
N1 N 0.000 0.500 0.136
N2 N 0.000 0.500 0.500
# energy above the lowest structure with this stoichiometry	0	meV/atom
# raw total energy	-8.330	eV per atom

# CaPuN, optimized geometry, DFT PBE
data_CaPuN
_chemical_formula_sum 'Ca2 Pu2 N2'
_cell_length_a 4.595
_cell_length_b 4.595
_cell_length_c 7.438
_cell_angle_alpha 90.00
_cell_angle_beta 90.00
_cell_angle_gamma 90.00
_space_group_name_H-M_alt 'I 4 m m'
_space_group_IT_number 107
_space_group_name_Hall 'I 4 -2'
loop_
_atom_site_label
_atom_site_type_symbol
_atom_site_fract_x
_atom_site_fract_y
_atom_site_fract_z
Ca1 Ca 0.000 0.000 0.000
Pu1 Pu 0.000 0.000 0.432
N1 N 0.000 0.000 0.700
# energy above the lowest structure with this stoichiometry	1122	meV/atom
# raw total energy	-7.814	eV per atom

# CaPu2N, optimized geometry, DFT PBE
data_CaPu2N
_chemical_formula_sum 'Ca3 Pu6 N3'
_cell_length_a 3.9918
_cell_length_b 3.9918
_cell_length_c 19.7347
_cell_angle_alpha 90.00
_cell_angle_beta 90.00
_cell_angle_gamma 120.00
_space_group_name_H-M_alt 'R -3 m'
_space_group_IT_number 166
_space_group_name_Hall '-R 3 2"'
loop_
_atom_site_label
_atom_site_type_symbol
_atom_site_fract_x
_atom_site_fract_y
_atom_site_fract_z
Ca1 Ca 0.0000 0.0000 0.0000
Pu1 Pu 0.0000 0.0000 0.1867
N1 N 0.0000 0.0000 0.5000
# raw total energy	-9.711	eV per atom

# Ca2PuN3, optimized geometry, DFT PBE
data_Ca2PuN3
_chemical_formula_sum 'Ca12 Pu6 N18'
_cell_length_a 5.8625
_cell_length_b 5.8625
_cell_length_c 17.5537
_cell_angle_alpha 90.00
_cell_angle_beta 90.00
_cell_angle_gamma 120.00
_space_group_name_H-M_alt 'R -3 c'
_space_group_IT_number 167
_space_group_name_Hall '-R 3 2"c'
loop_
_atom_site_label
_atom_site_type_symbol
_atom_site_fract_x
_atom_site_fract_y
_atom_site_fract_z
Ca1 Ca 0.0000 0.0000 0.1724
Pu1 Pu 0.0000 0.0000 0.0000
N1 N 0.0000 0.3777 0.2500
# energy above the lowest structure with this stoichiometry	251	meV/atom
# raw total energy	-8.079	eV per atom

# Ca5Pu3N8, optimized geometry, DFT PBE
data_Ca5Pu3N8
_chemical_formula_sum 'Ca15 Pu9 N24'
_cell_length_a 6.9679
_cell_length_b 6.9679
_cell_length_c 16.9769
_cell_angle_alpha 90.00
_cell_angle_beta 90.00
_cell_angle_gamma 120.00
_space_group_name_H-M_alt 'R -3 m'
_space_group_IT_number 166
_space_group_name_Hall '-R 3 2"'
loop_
_atom_site_label
_atom_site_type_symbol
_atom_site_fract_x
_atom_site_fract_y
_atom_site_fract_z
Ca1 Ca 0.0000 0.0000 0.0000
Ca2 Ca 0.0000 0.0000 0.5000
Ca3 Ca 0.0000 0.5000 0.0000
Pu1 Pu 0.0000 0.5000 0.5000
N1 N 0.0000 0.0000 0.2413
N2 N 0.0242 0.5121 0.7623
# raw total energy	-8.621	eV per atom

# CaPu2N3, optimized geometry, DFT PBE
data_CaPu2N3
_chemical_formula_sum 'Ca4 Pu8 N12'
_cell_length_a 3.588
_cell_length_b 17.412
_cell_length_c 8.103
_cell_angle_alpha 90.00
_cell_angle_beta 90.00
_cell_angle_gamma 90.00
_space_group_name_H-M_alt 'C m c m'
_space_group_IT_number 63
_space_group_name_Hall '-C 2c 2'
loop_
_atom_site_label
_atom_site_type_symbol
_atom_site_fract_x
_atom_site_fract_y
_atom_site_fract_z
Ca1 Ca 0.000 0.153 0.250
Pu1 Pu 0.000 0.130 0.750
Pu2 Pu 0.000 0.500 0.000
N1 N 0.000 0.082 0.009
N2 N 0.000 0.448 0.250
# raw total energy	-10.077	eV per atom

# Ca2PuN4, optimized geometry, DFT PBE
data_Ca2PuN4
_chemical_formula_sum 'Ca8 Pu4 N16'
_cell_length_a 6.921
_cell_length_b 6.921
_cell_length_c 7.781
_cell_angle_alpha 90.00
_cell_angle_beta 90.00
_cell_angle_gamma 90.00
_space_group_name_H-M_alt 'I -4 2 d'
_space_group_IT_number 122
_space_group_name_Hall 'I -4 2bw'
loop_
_atom_site_label
_atom_site_type_symbol
_atom_site_fract_x
_atom_site_fract_y
_atom_site_fract_z
Ca1 Ca 0.109 0.250 0.125
Pu1 Pu 0.000 0.000 0.500
N1 N 0.056 0.225 0.799
# raw total energy	-8.019	eV per atom

# CaPuN, optimized geometry, DFT PBE
data_CaPuN
_chemical_formula_sum 'Ca4 Pu4 N4'
_cell_length_a 6.036
_cell_length_b 6.036
_cell_length_c 6.036
_cell_angle_alpha 90.00
_cell_angle_beta 90.00
_cell_angle_gamma 90.00
_space_group_name_H-M_alt 'F -4 3 m'
_space_group_IT_number 216
_space_group_name_Hall 'F -4 2 3'
loop_
_atom_site_label
_atom_site_type_symbol
_atom_site_fract_x
_atom_site_fract_y
_atom_site_fract_z
Ca1 Ca 0.000 0.000 0.000
Pu1 Pu 0.000 0.000 0.500
N1 N 0.250 0.250 0.250
# energy above the lowest structure with this stoichiometry	609	meV/atom
# raw total energy	-8.327	eV per atom

# CaPuN2, optimized geometry, DFT PBE
data_CaPuN2
_chemical_formula_sum 'Ca3 Pu3 N6'
_cell_length_a 3.4679
_cell_length_b 3.4679
_cell_length_c 17.5485
_cell_angle_alpha 90.00
_cell_angle_beta 90.00
_cell_angle_gamma 120.00
_space_group_name_H-M_alt 'R 3 m'
_space_group_IT_number 160
_space_group_name_Hall 'R 3 -2"'
loop_
_atom_site_label
_atom_site_type_symbol
_atom_site_fract_x
_atom_site_fract_y
_atom_site_fract_z
Ca1 Ca 0.0000 0.0000 0.0000
Pu1 Pu 0.0000 0.0000 0.1717
N1 N 0.0000 0.0000 0.5763
N2 N 0.0000 0.0000 0.7691
# raw total energy	-9.314	eV per atom

# CaPuN, optimized geometry, DFT PBE
data_CaPuN
_chemical_formula_sum 'Ca3 Pu3 N3'
_cell_length_a 6.4177
_cell_length_b 6.4177
_cell_length_c 6.2053
_cell_angle_alpha 90.00
_cell_angle_beta 90.00
_cell_angle_gamma 120.00
_space_group_name_H-M_alt 'P -6 2 m'
_space_group_IT_number 189
_space_group_name_Hall 'P -6 -2'
loop_
_atom_site_label
_atom_site_type_symbol
_atom_site_fract_x
_atom_site_fract_y
_atom_site_fract_z
Ca1 Ca 0.0000 0.6630 0.0000
Pu1 Pu 0.0000 0.3143 0.5000
N1 N 0.0000 0.0000 0.0000
N2 N 0.3333 0.6667 0.5000
# energy above the lowest structure with this stoichiometry	443	meV/atom
# raw total energy	-8.493	eV per atom

Raw formation energy? In order: -559; -687; -942; -978; -726; -1068; -916; -1116; -578; 632; 1555; 3270; -891; -716; -1111; 406; 37; -860; -1146; -804; -642; -107; -1068; -273 meV/atom.